Entry 1:
Below is Ba3Te12Pd5 after structural relaxation, with properties calculated at the GGA-PBE level.

abc: 15.1677 15.1677 15.1677
angles: 109.47 109.47 109.47
Fractional coordinates of all 80 atoms:
1 Ba 0.1250 0.2500 0.3750
2 Ba 0.1250 0.3750 0.7500
3 Ba 0.2500 0.3750 0.1250
4 Ba 0.2500 0.8750 0.6250
5 Ba 0.3750 0.1250 0.2500
6 Ba 0.3750 0.7500 0.1250
7 Ba 0.6250 0.2500 0.8750
8 Ba 0.6250 0.8750 0.7500
9 Ba 0.7500 0.1250 0.3750
10 Ba 0.7500 0.6250 0.8750
11 Ba 0.8750 0.6250 0.2500
12 Ba 0.8750 0.7500 0.6250
13 Te 0.0172 0.1950 0.1041
14 Te 0.0172 0.3222 0.9130
15 Te 0.0870 0.6041 0.4091
16 Te 0.0870 0.9828 0.6778
17 Te 0.0909 0.6950 0.6778
18 Te 0.0909 0.8959 0.4130
19 Te 0.1041 0.0172 0.1950
20 Te 0.1041 0.5870 0.9091
21 Te 0.1778 0.1950 0.5909
22 Te 0.1778 0.4828 0.5870
23 Te 0.1950 0.1041 0.0172
24 Te 0.1950 0.5909 0.1778
25 Te 0.3050 0.3222 0.9091
26 Te 0.3050 0.4828 0.3959
27 Te 0.3222 0.9091 0.3050
28 Te 0.3222 0.9130 0.0172
29 Te 0.3959 0.3050 0.4828
30 Te 0.3959 0.5909 0.9130
31 Te 0.4091 0.0870 0.6041
32 Te 0.4091 0.8222 0.8050
33 Te 0.4130 0.0909 0.8959
34 Te 0.4130 0.8222 0.5172
35 Te 0.4828 0.3959 0.3050
36 Te 0.4828 0.5870 0.1778
37 Te 0.5172 0.4130 0.8222
38 Te 0.5172 0.6041 0.6950
39 Te 0.5870 0.1778 0.4828
40 Te 0.5870 0.9091 0.1041
41 Te 0.5909 0.1778 0.1950
42 Te 0.5909 0.9130 0.3959
43 Te 0.6041 0.4091 0.0870
44 Te 0.6041 0.6950 0.5172
45 Te 0.6778 0.0870 0.9828
46 Te 0.6778 0.0909 0.6950
47 Te 0.6950 0.5172 0.6041
48 Te 0.6950 0.6778 0.0909
49 Te 0.8050 0.4091 0.8222
50 Te 0.8050 0.8959 0.9828
51 Te 0.8222 0.5172 0.4130
52 Te 0.8222 0.8050 0.4091
53 Te 0.8959 0.4130 0.0909
54 Te 0.8959 0.9828 0.8050
55 Te 0.9091 0.1041 0.5870
56 Te 0.9091 0.3050 0.3222
57 Te 0.9130 0.0172 0.3222
58 Te 0.9130 0.3959 0.5909
59 Te 0.9828 0.6778 0.0870
60 Te 0.9828 0.8050 0.8959
61 Pd 0.0000 0.0000 0.0000
62 Pd 0.0000 0.0000 0.5000
63 Pd 0.0000 0.5000 0.0000
64 Pd 0.0000 0.5000 0.5000
65 Pd 0.1250 0.7500 0.8750
66 Pd 0.1250 0.8750 0.2500
67 Pd 0.2500 0.1250 0.8750
68 Pd 0.2500 0.6250 0.3750
69 Pd 0.3750 0.2500 0.6250
70 Pd 0.3750 0.6250 0.7500
71 Pd 0.5000 0.0000 0.0000
72 Pd 0.5000 0.0000 0.5000
73 Pd 0.5000 0.5000 0.0000
74 Pd 0.5000 0.5000 0.5000
75 Pd 0.6250 0.3750 0.2500
76 Pd 0.6250 0.7500 0.3750
77 Pd 0.7500 0.3750 0.6250
78 Pd 0.7500 0.8750 0.1250
79 Pd 0.8750 0.1250 0.7500
80 Pd 0.8750 0.2500 0.1250

Properties
magnetic moment = 0.0 μB/f.u.
formation energy from raw total energies = -0.4860 eV/atom
total energy = -316.6 eV per cell


Entry 2:
Below is BeZnRh after structural relaxation, with properties calculated at the GGA-PBE level.

abc: 6.5061 6.5061 3.9127
angles: 90.00 90.00 154.50
Fractional coordinates of all 6 atoms:
1 Be 0.0552 0.9448 0.7500
2 Be 0.9448 0.0552 0.2500
3 Zn 0.2759 0.7241 0.2500
4 Zn 0.7241 0.2759 0.7500
5 Rh 0.4108 0.5892 0.7500
6 Rh 0.5892 0.4108 0.2500

Properties
energy of formation = -0.47 eV/atom
magnetic moment = 0.0 μB/f.u.
total energy = -27.5 eV per cell
E above lowest polymorph = 0.0 meV/atom